Entry 1:
A relaxed Li2SiSb crystal, computed with PBE.

Summary:
Formation energy (no corrections), eV/atom: -0.15
Mass density, Mg/m³: 3.68
Total magnetic moment, μB per formula unit: 0.0
Symmetry: Pmm2, No. 25
DFT total energy, eV per atom: -3.495
N(E_F), states/eV/cell: 1.12
Energy above the lowest structure with this stoichiometry, eV/atom: 0.069

Cell: 4.917 3.157 4.761 Å, 90.00 90.00 90.00°
Atoms (fractional coordinates):
Li (0.000, 0.125, 0.968)
Li (0.500, 0.125, 0.275)
Sb (0.000, 0.625, 0.476)
Si (0.500, 0.625, 0.781)

---

Entry 2:
A relaxed NaLiNb2V crystal, computed with PBE.

Summary:
Mass density, Mg/m³: 4.28
Total magnetic moment, μB per formula unit: 0.0
Symmetry: P4/mmm, No. 123
Energy of formation, eV/atom: 2.213
DFT total energy, eV per atom: -4.286
N(E_F), states/eV/cell: 10.52
Energy above the lowest structure with this stoichiometry, eV/atom: 1.247

Cell: 4.808 4.473 4.808 Å, 90.00 90.00 90.00°
Atoms (fractional coordinates):
Na (0.000, 0.000, 0.000)
Nb (0.000, 0.000, 0.500)
Nb (0.500, 0.000, 0.000)
Li (0.500, 0.500, 0.500)
V (0.000, 0.500, 0.000)

---

Entry 3:
A relaxed ScFeSi2Tc crystal, computed with PBE.

Summary:
Formation energy (no corrections), eV/atom: -0.56
Mass density, Mg/m³: 5.50
Total magnetic moment, μB per formula unit: 2.0
Symmetry: I-4m2, No. 119
DFT total energy, eV per atom: -7.764
N(E_F), states/eV/cell: 4.65

Cell: 3.911 3.911 5.745 Å, 109.90 109.90 90.00°
Site moments in Bohr magnetons follow the coordinates.
Atoms (fractional coordinates):
Sc (0.000, 0.000, 0.000)  -0.03
Fe (0.750, 0.250, 0.500)  1.80
Si (0.617, 0.617, 0.235)  -0.03
Si (0.383, 0.383, 0.765)  -0.03
Tc (0.250, 0.750, 0.500)  0.31

---

Entry 4:
A relaxed Cs2Tl2Pd crystal, computed with PBE.

Summary:
Mass density, Mg/m³: 6.24
Total magnetic moment, μB per formula unit: 0.0
Symmetry: C2/m, No. 12
Energy of formation, eV/atom: -0.092
DFT total energy, eV per atom: -2.418
N(E_F), states/eV/cell: 7.32
Energy above the lowest structure with this stoichiometry, eV/atom: 0.000

Cell: 5.108 7.585 11.685 Å, 87.83 77.37 70.32°
Atoms (fractional coordinates):
Cs (0.647, 0.365, 0.341)
Cs (0.904, 0.308, 0.883)
Cs (0.353, 0.635, 0.659)
Cs (0.096, 0.692, 0.117)
Tl (0.146, 0.145, 0.562)
Tl (0.610, 0.909, 0.872)
Tl (0.854, 0.855, 0.438)
Tl (0.390, 0.091, 0.128)
Pd (0.638, 0.069, 0.656)
Pd (0.362, 0.931, 0.344)

---

Entry 5:
A relaxed PrHoPt crystal, computed with PBE.

Summary:
Mass density, Mg/m³: 9.32
Total magnetic moment, μB per formula unit: 0.0
Symmetry: P2_1/c, No. 14
Energy of formation, eV/atom: -0.738
DFT total energy, eV per atom: -5.870
N(E_F), states/eV/cell: 12.13
Energy above the lowest structure with this stoichiometry, eV/atom: 0.124

Cell: 5.934 7.038 8.573 Å, 94.60 90.00 90.00°
Atoms (fractional coordinates):
Pr (0.356, 0.195, 0.884)
Pr (0.644, 0.805, 0.116)
Pr (0.856, 0.305, 0.616)
Pr (0.144, 0.695, 0.384)
Ho (0.878, 0.300, 0.135)
Ho (0.622, 0.800, 0.635)
Ho (0.122, 0.700, 0.865)
Ho (0.378, 0.200, 0.365)
Pt (0.342, 0.462, 0.635)
Pt (0.658, 0.538, 0.365)
Pt (0.158, 0.962, 0.135)
Pt (0.842, 0.038, 0.865)

---

Entry 6:
A relaxed TaNi5Rh4 crystal, computed with PBE.

Summary:
Mass density, Mg/m³: 9.93
Total magnetic moment, μB per formula unit: 3.2
Symmetry: C2/m, No. 12
Energy of formation, eV/atom: 0.183
DFT total energy, eV per atom: -6.834
N(E_F), states/eV/cell: 16.45

Cell: 3.613 7.680 6.713 Å, 122.91 105.61 90.00°
Site moments in Bohr magnetons follow the coordinates.
Atoms (fractional coordinates):
Ta (0.500, 0.000, 0.000)  -0.08
Ni (0.835, 0.345, 0.670)  0.47
Ni (0.825, 0.817, 0.650)  0.38
Ni (0.175, 0.183, 0.350)  0.38
Ni (0.500, 0.500, 0.000)  0.56
Ni (0.165, 0.655, 0.330)  0.47
Rh (0.339, 0.587, 0.678)  0.32
Rh (0.026, 0.775, 0.051)  0.24
Rh (0.661, 0.413, 0.322)  0.32
Rh (0.974, 0.225, 0.949)  0.24

---

Entry 7:
A relaxed K2TlCdCl5 crystal, computed with PBE.

Summary:
Formation energy (no corrections), eV/atom: -1.43
Mass density, Mg/m³: 3.32
Total magnetic moment, μB per formula unit: 0.0
Symmetry: Immm, No. 71
DFT total energy, eV per atom: -3.068
N(E_F), states/eV/cell: 0.00

Cell: 5.131 7.417 8.771 Å, 115.01 107.01 90.00°
Atoms (fractional coordinates):
K (0.206, 0.206, 0.412)
K (0.794, 0.794, 0.588)
Tl (0.000, 0.500, 0.000)
Cd (0.500, 0.000, 0.000)
Cl (0.628, 0.878, 0.255)
Cl (0.372, 0.122, 0.745)
Cl (0.372, 0.623, 0.745)
Cl (0.628, 0.377, 0.255)
Cl (0.000, 0.000, 0.000)

---

Entry 8:
A relaxed Tb6Pm2DyY crystal, computed with PBE.

Summary:
Mass density, Mg/m³: 7.55
Total magnetic moment, μB per formula unit: 0.0
Symmetry: C2/c, No. 15
Energy of formation, eV/atom: 0.114
DFT total energy, eV per atom: -4.721
N(E_F), states/eV/cell: 27.70

Cell: 9.685 8.833 8.833 Å, 118.42 94.31 94.31°
Atoms (fractional coordinates):
Tb (0.057, 0.127, 0.748)
Tb (0.443, 0.252, 0.873)
Tb (0.943, 0.873, 0.252)
Tb (0.557, 0.748, 0.127)
Tb (0.312, 0.979, 0.426)
Tb (0.188, 0.574, 0.021)
Tb (0.688, 0.021, 0.574)
Tb (0.812, 0.426, 0.979)
Tb (0.120, 0.710, 0.500)
Tb (0.380, 0.500, 0.290)
Tb (0.880, 0.290, 0.500)
Tb (0.620, 0.500, 0.710)
Pm (0.458, 0.806, 0.699)
Pm (0.042, 0.301, 0.194)
Pm (0.542, 0.194, 0.301)
Pm (0.958, 0.699, 0.806)
Dy (0.250, 0.408, 0.592)
Dy (0.750, 0.592, 0.408)
Y (0.250, 0.981, 0.019)
Y (0.750, 0.019, 0.981)

---

Entry 9:
A relaxed Rb2IrNCl6 crystal, computed with PBE.

Summary:
Formation energy (no corrections), eV/atom: -0.52
Mass density, Mg/m³: 3.59
Total magnetic moment, μB per formula unit: 2.0
Symmetry: I4/mmm, No. 139
DFT total energy, eV per atom: -3.544
N(E_F), states/eV/cell: 8.72

Cell: 7.742 7.742 7.117 Å, 57.05 57.05 90.00°
Site moments in Bohr magnetons follow the coordinates.
Atoms (fractional coordinates):
N (0.500, 0.500, 0.000)  1.33
Ir (0.000, 0.000, 0.000)  -0.03
Rb (0.750, 0.250, 0.500)  0.00
Rb (0.250, 0.750, 0.500)  0.00
Cl (0.268, 0.268, 0.464)  0.07
Cl (0.732, 0.732, 0.536)  0.07
Cl (0.215, 0.215, 0.000)  -0.01
Cl (0.785, 0.785, 0.000)  -0.01
Cl (0.785, 0.215, 0.000)  -0.01
Cl (0.215, 0.785, 0.000)  -0.01

---

Entry 10:
A relaxed La2ZnF crystal, computed with PBE.

Summary:
Formation energy (no corrections), eV/atom: -1.14
Mass density, Mg/m³: 5.07
Total magnetic moment, μB per formula unit: 0.0
Symmetry: I-42d, No. 122
DFT total energy, eV per atom: -4.393
N(E_F), states/eV/cell: 6.61
Energy above the lowest structure with this stoichiometry, eV/atom: 0.163

Cell: 5.936 5.936 7.940 Å, 68.05 68.05 90.00°
Atoms (fractional coordinates):
Zn (0.000, 0.000, 0.000)
Zn (0.750, 0.250, 0.500)
F (0.500, 0.500, 0.000)
F (0.250, 0.750, 0.500)
La (0.564, 0.125, 0.250)
La (0.186, 0.625, 0.250)
La (0.375, 0.436, 0.750)
La (0.875, 0.814, 0.750)

---

Entry 11:
A relaxed Li2CrOs crystal, computed with PBE.

Summary:
Mass density, Mg/m³: 7.90
Total magnetic moment, μB per formula unit: 1.9
Symmetry: C2/m, No. 12
Energy of formation, eV/atom: 0.293
DFT total energy, eV per atom: -5.877
N(E_F), states/eV/cell: 3.53
Energy above the lowest structure with this stoichiometry, eV/atom: 0.050

Cell: 4.907 4.907 4.415 Å, 81.37 81.37 30.83°
Site moments in Bohr magnetons follow the coordinates.
Atoms (fractional coordinates):
Cr (0.250, 0.250, 0.250)  1.91
Li (0.003, 0.003, 0.991)  -0.01
Li (0.497, 0.497, 0.509)  -0.01
Os (0.750, 0.750, 0.750)  -0.11

---

Entry 12:
A relaxed AgPAu crystal, computed with PBE.

Summary:
Mass density, Mg/m³: 10.75
Total magnetic moment, μB per formula unit: 0.0
Symmetry: P3m1, No. 156
Energy of formation, eV/atom: 0.281
DFT total energy, eV per atom: -3.565
N(E_F), states/eV/cell: 1.37
Energy above the lowest structure with this stoichiometry, eV/atom: 0.092

Cell: 3.075 3.075 6.336 Å, 90.00 90.00 120.00°
Atoms (fractional coordinates):
Ag (0.000, 0.000, 0.987)
Au (0.667, 0.333, 0.352)
P (0.333, 0.667, 0.661)